No. 1
Below is a relaxed In4PbAu crystal, with properties calculated at the PBE-GGA level.

abc: 8.687 8.687 8.687
angles: 90.00 90.00 90.00
Space group F-43m (No. 216)
One atom of each set of equivalent atoms:
1 In 0.125 0.125 0.125
2 Pb 0.250 0.250 0.750
3 Au 0.000 0.000 0.500

Computed properties:
As for the spin magnetization: 0.00 μB per formula unit. As for the energy relative to the elements: 0.17 eV per atom.

---

No. 2
Below is a relaxed InPbAu crystal, with properties calculated at the PBE-GGA level.

abc: 5.788 9.626 10.814
angles: 90.00 90.00 90.00
Space group Fmmm (No. 69)
One atom of each set of equivalent atoms:
1 In 0.000 0.000 0.152
2 Pb 0.000 0.165 0.500
3 Au 0.250 0.250 0.250

Computed properties:
As for the spin magnetization: 0.00 μB per formula unit. As for the energy relative to the elements: -0.09 eV per atom.

---

No. 3
Below is a relaxed InPbAu crystal, with properties calculated at the PBE-GGA level.

abc: 4.836 4.836 6.940
angles: 90.00 90.00 90.00
Space group P4/nmm (No. 129, origin choice 2)
One atom of each set of equivalent atoms:
1 In 0.250 0.750 0.000
2 Pb 0.250 0.750 0.500
3 Au 0.250 0.250 0.225

Computed properties:
As for the spin magnetization: 0.00 μB per formula unit. As for the energy relative to the elements: -0.14 eV per atom.

---

No. 4
Below is a relaxed InPb3Au3 crystal, with properties calculated at the PBE-GGA level.

abc: 9.402 10.483 7.329
angles: 90.00 91.36 90.00
Space group C2/m (No. 12)
One atom of each set of equivalent atoms:
1 In 0.239 0.000 0.324
2 Pb 0.000 0.161 0.000
3 Pb 0.000 0.253 0.500
4 Pb 0.084 0.500 0.199
5 Au 0.104 0.000 0.671
6 Au 0.249 0.257 0.220

Computed properties:
As for the energy above the most stable polymorph in this dataset: 3.8 kJ per mole of atoms. As for the spin magnetization: 0.00 μB per formula unit. As for the energy relative to the elements: -0.06 eV per atom.

---

No. 5
Below is a relaxed InPbAu2 crystal, with properties calculated at the PBE-GGA level.

abc: 3.9413 3.9413 22.1701
angles: 90.00 90.00 120.00
Space group R-3m (No. 166, hexagonal axes)
One atom of each set of equivalent atoms:
1 In 0.0000 0.0000 0.0000
2 Pb 0.0000 0.0000 0.5000
3 Au 0.0000 0.0000 0.2549

Computed properties:
As for the spin magnetization: 0.00 μB per formula unit. As for the energy relative to the elements: -0.10 eV per atom.

---

No. 6
Below is a relaxed In2Pb2Au crystal, with properties calculated at the PBE-GGA level.

abc: 4.072 4.072 17.454
angles: 90.00 90.00 90.00
Space group I4/mmm (No. 139)
One atom of each set of equivalent atoms:
1 In 0.000 0.500 0.250
2 Pb 0.000 0.000 0.092
3 Au 0.000 0.000 0.500

Computed properties:
As for the energy above the most stable polymorph in this dataset: 14.2 kJ per mole of atoms. As for the spin magnetization: 0.00 μB per formula unit. As for the energy relative to the elements: 0.15 eV per atom.